The following is a GGA-PBE calculation of crystalline RePdO2F at its relaxed geometry, from the Alexandria database. Values from VASP.

Structure (Quantum ESPRESSO input):
```
&SYSTEM
  ibrav = 0, nat = 5, ntyp = 4
/
ATOMIC_SPECIES
O 16.00 O.upf
Re 186.21 Re.upf
F 19.00 F.upf
Pd 106.42 Pd.upf
ATOMIC_POSITIONS angstrom
O 2.031 0.000 0.000
O 0.000 2.031 0.000
Re 2.031 2.031 2.036
F 0.000 0.000 2.036
Pd 0.000 0.000 0.000
CELL_PARAMETERS angstrom
4.063 0.000 0.000
0.000 4.063 0.000
0.000 0.000 4.072
```

Properties
Uncorrected formation energy (eV/atom): 0.562
DOS(E_F) (states/eV per cell): 3.07